Entry from the Alexandria database: a geometry-optimized KMo2Ru structure (PBE).

a = 2.793 Å, b = 2.793 Å, c = 10.082 Å
α = 90.00°, β = 90.00°, γ = 90.00°
Positions (direct):
K 0.500 0.500 0.750
Mo 0.000 0.000 0.067
Mo 0.000 0.000 0.433
Ru 0.500 0.500 0.250

Properties
theoretical density = 7.0 g cm⁻³
formation energy = 821.1 meV per atom
excess energy over the best structure of this formula in the dataset = 92 meV/atom
calculated total energy = -7.1878 eV per atom
symmetry = P4/mmm, No. 123


Entry from the Alexandria database: a geometry-optimized NdDy2Tm7 structure (PBE).

a = 5.484 Å, b = 9.189 Å, c = 9.189 Å
α = 123.88°, β = 90.00°, γ = 90.00°
Positions (direct):
Nd 0.000 0.000 0.000
Dy 0.500 0.702 0.298
Dy 0.500 0.298 0.702
Tm 0.000 0.790 0.210
Tm 0.000 0.210 0.790
Tm 0.500 0.062 0.291
Tm 0.500 0.938 0.709
Tm 0.500 0.291 0.062
Tm 0.500 0.709 0.938
Tm 0.500 0.500 0.500

Properties
theoretical density = 7.1 g cm⁻³
formation energy = 716.2 meV per atom
excess energy over the best structure of this formula in the dataset = 668 meV/atom
calculated total energy = -3.8111 eV per atom
symmetry = Cmmm, No. 65